Material: YTi2InN
Method: DFT, PBEsol
State: relaxed

Properties
Formation energy from raw total energies = 121.8 kJ/mol of atoms
M_tot = 0.00 μB per cell
Space-group type = P4/mmm
D(E_F) = 1.53 states/eV per atom

abc: 5.0713 5.0713 4.1979
angles: 90.00 90.00 90.00
Last column: nearest neighbours and their distance in Å.
Fractional positions:
1 Y 0.0000 0.0000 0.0000  2 N 2.10
2 Ti 0.0000 0.5000 0.0000  2 Y 2.54
3 Ti 0.5000 0.0000 0.0000  2 Y 2.54
4 In 0.5000 0.5000 0.5000  8 Ti 3.29, 4 N 3.59
5 N 0.0000 0.0000 0.5000  2 Y 2.10